1.
Density functional theory data (meta-GGA SCAN) for SrAlHg at its PBEsol-relaxed geometry.

Computed properties:
Relative energy among the computed polymorphs   0 meV/atom

Cell: 4.7606 4.7606 3.9507 Å, 90.00 90.00 120.00°
Closest atoms and distances in Å follow each position.
Atoms (fractional coordinates):
Sr 0.0000 0.0000 0.0000  6 Al 3.38, 6 Hg 3.38
Al 0.6667 0.3333 0.5000  3 Hg 2.75
Hg 0.3333 0.6667 0.5000  3 Al 2.75

2.
Density functional theory data (meta-GGA SCAN) for TaAl3Hg at its PBEsol-relaxed geometry.

Cell: 5.0349 5.0349 5.0349 Å, 90.00 90.00 90.00°
Closest atoms and distances in Å follow each position.
Atoms (fractional coordinates):
Ta 0.0000 0.0000 0.0000  6 Al 2.52
Al 0.0000 0.0000 0.5000  2 Ta 2.52
Al 0.0000 0.5000 0.0000  2 Ta 2.52
Al 0.5000 0.0000 0.0000  2 Ta 2.52
Hg 0.5000 0.5000 0.5000  12 Al 3.56

3.
Density functional theory data (meta-GGA SCAN) for Al2TcHg at its PBEsol-relaxed geometry.

Cell: 4.9065 4.9065 4.9065 Å, 132.92 132.29 69.28°
Closest atoms and distances in Å follow each position.
Atoms (fractional coordinates):
Al 0.2504 0.2504 0.0000  4 Al 2.79, 4 Tc 2.81-2.83, 4 Hg 2.82-2.83
Al 0.7496 0.7496 0.0000  4 Al 2.79, 4 Tc 2.81-2.83, 4 Hg 2.82-2.83
Tc 0.5000 0.0000 0.5000  4 Hg 2.79, 8 Al 2.81-2.83
Hg 0.0000 0.5000 0.5000  4 Tc 2.79, 8 Al 2.82-2.83

4.
Density functional theory data (meta-GGA SCAN) for AlTc4Hg at its PBEsol-relaxed geometry.

Cell: 5.1102 5.1102 5.1102 Å, 60.00 60.00 60.00°
Closest atoms and distances in Å follow each position.
Atoms (fractional coordinates):
Al 0.0000 0.0000 0.0000  12 Tc 3.00, 4 Hg 3.13
Tc 0.3750 0.3750 0.3750  6 Tc 2.55-2.56
Tc 0.3750 0.3750 0.8751  6 Tc 2.55-2.56
Tc 0.3750 0.8751 0.3750  6 Tc 2.55-2.56
Tc 0.8751 0.3750 0.3750  6 Tc 2.55-2.56
Hg 0.7500 0.7500 0.7500  12 Tc 3.00, 4 Al 3.13

5.
Density functional theory data (meta-GGA SCAN) for AlTcHg at its PBEsol-relaxed geometry.

Cell: 4.4605 4.4605 2.7766 Å, 90.00 90.00 120.00°
Closest atoms and distances in Å follow each position.
Atoms (fractional coordinates):
Al 0.0000 0.0000 0.0000  3 Hg 2.58, 2 Al 2.78
Tc 0.6667 0.3333 0.5084  2 Tc 2.78, 6 Al 2.91-2.94, 6 Hg 2.92-2.93
Hg 0.3333 0.6667 0.0100  3 Al 2.58, 2 Hg 2.78

6.
Density functional theory data (meta-GGA SCAN) for AlTcHg3 at its PBEsol-relaxed geometry.

Cell: 5.1684 5.1684 5.1684 Å, 90.00 90.00 90.00°
Closest atoms and distances in Å follow each position.
Atoms (fractional coordinates):
Al 0.0000 0.0000 0.0000  12 Hg 3.65
Tc 0.5000 0.5000 0.5000  6 Hg 2.58
Hg 0.0000 0.5000 0.5000  2 Tc 2.58
Hg 0.5000 0.0000 0.5000  2 Tc 2.58
Hg 0.5000 0.5000 0.0000  2 Tc 2.58

Asked for DOS(E_F) across the records above, the calculation gives 1.39, 6.05, 0.60, 3.41, 1.46, 4.12 states/eV/f.u. in order.
Asked for energy relative to the elements across the records above, the calculation gives -1.52, 4.86, -0.47, 2.33, 0.63, 4.74 eV per formula unit in order.